# 1
KZr3 | the Alexandria database | PBE-GGA | optimized geometry; V = 122.7 Å³/cell; symmetry = Pmm2; calculated formation energy = 587 meV per atom; spin magnetization = 0.00 μB per formula unit; crystal system = orthorhombic; DOS(E_F) = 1.10 states/eV/atom; VASP energy = -6.0985 eV per atom
1.0
3.125 0.000 0.000
0.000 5.122 0.000
0.000 0.000 7.665
K Zr
1 3
direct
0.000 0.000 0.000
0.000 0.500 0.348
0.500 0.000 0.498
0.500 0.500 0.677

---

# 2
KZr3 | the Alexandria database | PBE-GGA | optimized geometry; V = 110.1 Å³/cell; symmetry = P-6m2; calculated formation energy = 365 meV per atom; spin magnetization = 0.00 μB per formula unit; crystal system = hexagonal; DOS(E_F) = 0.82 states/eV/atom; VASP energy = -6.3206 eV per atom
1.0
3.262 0.000 0.000
-1.631 2.825 0.000
0.000 0.000 11.948
K Zr
1 3
direct
0.000 0.000 0.000
0.000 0.000 0.500
0.667 0.333 0.291
0.667 0.333 0.709

---

# 3
K4Zr5 | the Alexandria database | PBE-GGA | optimized geometry; V = 558.0 Å³/cell; symmetry = P6_3/mcm; calculated formation energy = 1051 meV per atom; spin magnetization = 3.91 μB per formula unit; crystal system = hexagonal; DOS(E_F) = 1.37 states/eV/atom; VASP energy = -4.1857 eV per atom
1.0
10.352 0.000 0.000
-5.176 8.965 0.000
0.000 0.000 6.013
K Zr
8 10
direct
0.000 0.000 0.000
0.000 0.000 0.500
0.000 0.276 0.250
0.000 0.724 0.750
0.276 0.000 0.250
0.276 0.276 0.750
0.724 0.000 0.750
0.724 0.724 0.250
0.000 0.428 0.750
0.000 0.572 0.250
0.333 0.667 0.000
0.333 0.667 0.500
0.428 0.000 0.750
0.428 0.428 0.250
0.572 0.000 0.250
0.572 0.572 0.750
0.667 0.333 0.000
0.667 0.333 0.500

---

What did the third record say?
K4Zr5 | the Alexandria database | PBE-GGA | optimized geometry; V = 558.0 Å³/cell; symmetry = P6_3/mcm; calculated formation energy = 1051 meV per atom; spin magnetization = 3.91 μB per formula unit; crystal system = hexagonal; DOS(E_F) = 1.37 states/eV/atom; VASP energy = -4.1857 eV per atom
1.0
10.352 0.000 0.000
-5.176 8.965 0.000
0.000 0.000 6.013
K Zr
8 10
direct
0.000 0.000 0.000
0.000 0.000 0.500
0.000 0.276 0.250
0.000 0.724 0.750
0.276 0.000 0.250
0.276 0.276 0.750
0.724 0.000 0.750
0.724 0.724 0.250
0.000 0.428 0.750
0.000 0.572 0.250
0.333 0.667 0.000
0.333 0.667 0.500
0.428 0.000 0.750
0.428 0.428 0.250
0.572 0.000 0.250
0.572 0.572 0.750
0.667 0.333 0.000
0.667 0.333 0.500